Here is crystalline Pm3W2N7 at its relaxed geometry from Alexandria via LeMat-Bulk. Energies are from PBE-GGA.

Computed properties:
Electronic total energy   -107.87 eV/f.u.
Calculated volume   163.8 Å³/cell
Magnetic moment   0.00 μB/f.u.
D(E_F)   1.42 states/eV/f.u.
Formation energy without anion corrections   -75.89 kJ/mol of atoms

Unit cell a=3.890 b=4.019 c=10.668 alpha=100.86 beta=90.00 gamma=90.00
Positions (direct):
N 0.500 0.098 0.196
Pm 0.500 0.322 0.644
W 0.000 0.100 0.199
Pm 0.500 0.500 0.000
N 0.000 0.000 0.000
W 0.000 0.900 0.801
N 0.000 0.805 0.610
N 0.000 0.405 0.809
N 0.000 0.595 0.191
Pm 0.500 0.678 0.356
N 0.000 0.195 0.390
N 0.500 0.902 0.804

=====

Here is crystalline ZrTa2Ir2 at its relaxed geometry from Alexandria via LeMat-Bulk. Energies are from PBE-GGA.

Computed properties:
Electronic total energy   -52.33 eV/f.u.
Calculated volume   178.8 Å³/cell
Magnetic moment   0.00 μB/f.u.
D(E_F)   5.33 states/eV/f.u.

Unit cell a=7.740 b=7.740 c=2.985 alpha=90.00 beta=90.00 gamma=90.00
Positions (direct):
Ir 0.132 0.368 0.000
Ta 0.336 0.164 0.500
Ta 0.164 0.664 0.500
Ir 0.868 0.632 0.000
Ir 0.632 0.132 0.000
Ir 0.368 0.868 0.000
Ta 0.664 0.836 0.500
Zr 0.000 0.000 0.000
Ta 0.836 0.336 0.500
Zr 0.500 0.500 0.000

=====

Q: Which formula does entry 1 have?
A: Pm3W2N7